# 1
Compound: Mo4C3
Source: the Alexandria database
Functional: PBE-GGA
Structure: relaxed

Lattice parameters (Å, degrees): 9.341 9.341 9.341 161.74 161.74 25.93
Atoms (fractional coordinates):
C (0.000, 0.000, 0.000)
C (0.691, 0.691, 0.000)
Mo (0.816, 0.816, 0.000)
C (0.309, 0.309, 0.000)
Mo (0.572, 0.572, 0.000)
Mo (0.428, 0.428, 0.000)
Mo (0.184, 0.184, 0.000)

Fermi-level density of states, states/eV/f.u.: 4.4
DFT formation energy, meV/atom: 365.0
Calculated volume, A^3/atom: 11.424
VASP energy, eV/atom: -9.777
Space group: I4/mmm (139)

# 2
Compound: Pm6NdSn4
Source: the Alexandria database
Functional: PBE-GGA
Structure: relaxed

Lattice parameters (Å, degrees): 8.266 8.266 8.266 87.49 121.46 121.46
Atoms (fractional coordinates):
Sn (0.448, 0.821, 0.821)
Pm (0.500, 0.000, 0.500)
Pm (0.682, 0.173, 0.173)
Sn (0.000, 0.627, 0.179)
Sn (0.552, 0.373, 0.373)
Pm (0.000, 0.827, 0.509)
Pm (0.500, 0.500, 0.000)
Pm (0.000, 0.509, 0.827)
Pm (0.318, 0.491, 0.491)
Sn (0.000, 0.179, 0.627)
Nd (0.000, 0.000, 0.000)

Fermi-level density of states, states/eV/f.u.: 12.5
DFT formation energy, meV/atom: -376.3
Calculated volume, A^3/atom: 35.462
VASP energy, eV/atom: -4.857
Space group: I-42m (121)

# 3
Compound: Y3Si5
Source: the Alexandria database
Functional: PBE-GGA
Structure: relaxed

Lattice parameters (Å, degrees): 5.653 7.291 8.932 82.95 71.55 67.19
Atoms (fractional coordinates):
Y (0.639, 0.387, 0.338)
Si (0.260, 0.076, 0.850)
Y (0.227, 0.887, 0.162)
Si (0.664, 0.076, 0.150)
Si (0.360, 0.576, 0.650)
Si (0.064, 0.576, 0.350)
Y (0.974, 0.387, 0.662)
Y (0.886, 0.887, 0.838)
Si (0.791, 0.722, 0.171)
Si (0.992, 0.017, 0.500)
Y (0.552, 0.896, 0.500)
Si (0.486, 0.722, 0.829)
Si (0.213, 0.222, 0.329)
Si (0.565, 0.222, 0.671)
Si (0.742, 0.517, 0.000)
Y (0.302, 0.396, 0.000)

Fermi-level density of states, states/eV/f.u.: 4.1
Uncorrected formation energy, eV per atom: -0.685
Calculated volume, A^3/atom: 20.118
VASP energy, eV/atom: -6.498
Space group: Fdd2 (43)

# 4
Compound: Cr2Co2Sn
Source: the Alexandria database
Functional: PBE-GGA
Structure: relaxed

Lattice parameters (Å, degrees): 6.864 6.864 2.853 90.00 90.00 90.00
Each line ends with the local moment (μB).
Atoms (fractional coordinates):
Cr (0.837, 0.337, 0.500)  1.80
Co (0.625, 0.125, 0.000)  0.10
Cr (0.163, 0.663, 0.500)  1.80
Cr (0.663, 0.837, 0.500)  1.84
Sn (0.000, 0.000, 0.000)  -0.07
Cr (0.337, 0.163, 0.500)  1.84
Sn (0.500, 0.500, 0.000)  -0.07
Co (0.125, 0.375, 0.000)  0.10
Co (0.375, 0.875, 0.000)  0.10
Co (0.875, 0.625, 0.000)  0.10

Fermi-level density of states, states/eV/f.u.: 6.3
DFT formation energy, meV/atom: 268.1
Calculated volume, A^3/atom: 13.440
VASP energy, eV/atom: -7.224
Space group: P4/mbm (127)

# 5
Compound: SiRuN2
Source: the Alexandria database
Functional: PBE-GGA
Structure: relaxed

Lattice parameters (Å, degrees): 6.189 6.189 6.189 25.77 25.77 25.77
Atoms (fractional coordinates):
N (0.890, 0.890, 0.890)
Si (0.500, 0.500, 0.500)
Ru (0.000, 0.000, 0.000)
N (0.110, 0.110, 0.110)

Fermi-level density of states, states/eV/f.u.: 2.1
Uncorrected formation energy, eV per atom: -0.132
Calculated volume, A^3/atom: 9.863
VASP energy, eV/atom: -7.969
Space group: R-3m (166)

# 6
Compound: Mg4TlPb5
Source: the Alexandria database
Functional: PBE-GGA
Structure: relaxed

Lattice parameters (Å, degrees): 3.538 3.538 21.787 90.00 90.00 90.00
Atoms (fractional coordinates):
Pb (0.500, 0.500, 0.116)
Pb (0.500, 0.500, 0.500)
Tl (0.000, 0.000, 0.000)
Pb (0.500, 0.500, 0.884)
Mg (0.000, 0.000, 0.403)
Pb (0.500, 0.500, 0.307)
Pb (0.500, 0.500, 0.693)
Mg (0.000, 0.000, 0.211)
Mg (0.000, 0.000, 0.789)
Mg (0.000, 0.000, 0.597)

Fermi-level density of states, states/eV/f.u.: 2.6
DFT formation energy, meV/atom: -59.9
Calculated volume, A^3/atom: 27.272
VASP energy, eV/atom: -2.789
Space group: P4/mmm (123)

# 7
Compound: Ho4Hg2S
Source: the Alexandria database
Functional: PBE-GGA
Structure: relaxed

Lattice parameters (Å, degrees): 5.126 5.126 8.220 108.17 108.17 90.00
Atoms (fractional coordinates):
Ho (0.000, 0.500, 0.000)
Ho (0.500, 0.000, 0.000)
Hg (0.382, 0.382, 0.765)
S (0.000, 0.000, 0.000)
Ho (0.187, 0.187, 0.373)
Hg (0.618, 0.618, 0.235)
Ho (0.813, 0.813, 0.627)

Fermi-level density of states, states/eV/f.u.: 0.8
Uncorrected formation energy, eV per atom: -0.715
Calculated volume, A^3/atom: 27.697
VASP energy, eV/atom: -4.007
Space group: I4/mmm (139)

# 8
Compound: Ac3La3In2Au
Source: the Alexandria database
Functional: PBE-GGA
Structure: relaxed

Lattice parameters (Å, degrees): 4.066 9.390 9.390 120.00 90.00 90.00
Atoms (fractional coordinates):
Ac (0.500, 0.741, 0.000)
La (0.000, 0.403, 0.000)
In (0.500, 0.667, 0.333)
Ac (0.500, 0.000, 0.741)
Ac (0.500, 0.259, 0.259)
In (0.500, 0.333, 0.667)
La (0.000, 0.597, 0.597)
Au (0.000, 0.000, 0.000)
La (0.000, 0.000, 0.403)

Fermi-level density of states, states/eV/f.u.: 11.3
DFT formation energy, meV/atom: -391.4
Calculated volume, A^3/atom: 34.496
VASP energy, eV/atom: -4.376
Space group: P-62m (189)

# 9
Compound: Rb2RhI6
Source: the Alexandria database
Functional: PBE-GGA
Structure: relaxed

Lattice parameters (Å, degrees): 7.747 7.747 15.329 90.00 90.00 90.00
Each line ends with the local moment (μB).
Atoms (fractional coordinates):
I (0.673, 0.673, 0.374)  0.08
Rh (0.500, 0.500, 0.500)  0.19
I (0.173, 0.827, 0.126)  0.08
Rb (0.000, 0.000, 0.668)  0.00
I (0.745, 0.255, 0.500)  0.14
I (0.255, 0.745, 0.500)  0.14
I (0.327, 0.327, 0.626)  0.08
Rb (0.000, 0.000, 0.332)  0.00
Rb (0.500, 0.500, 0.832)  0.00
Rh (0.000, 0.000, 0.000)  0.19
I (0.245, 0.245, 0.000)  0.14
I (0.673, 0.673, 0.626)  0.08
I (0.827, 0.173, 0.126)  0.08
I (0.173, 0.827, 0.874)  0.08
Rb (0.500, 0.500, 0.168)  0.00
I (0.827, 0.173, 0.874)  0.08
I (0.327, 0.327, 0.374)  0.08
I (0.755, 0.755, 0.000)  0.14

Fermi-level density of states, states/eV/f.u.: 18.0
Uncorrected formation energy, eV per atom: -0.633
Calculated volume, A^3/atom: 51.104
VASP energy, eV/atom: -2.699
Space group: P4_2/mnm (136)

# 10
Compound: BaAcEr2
Source: the Alexandria database
Functional: PBE-GGA
Structure: relaxed

Lattice parameters (Å, degrees): 3.713 3.713 13.297 81.97 81.97 60.00
Atoms (fractional coordinates):
Ac (0.500, 0.500, 0.500)
Er (0.908, 0.908, 0.275)
Ba (0.000, 0.000, 0.000)
Er (0.092, 0.092, 0.725)

Fermi-level density of states, states/eV/f.u.: 6.2
DFT formation energy, meV/atom: 284.7
Calculated volume, A^3/atom: 39.179
VASP energy, eV/atom: -3.505
Space group: R-3m (166)

# 11
Compound: V2CoNi2
Source: the Alexandria database
Functional: PBE-GGA
Structure: relaxed

Lattice parameters (Å, degrees): 4.125 4.400 6.836 90.00 107.56 90.00
Atoms (fractional coordinates):
V (0.770, 0.877, 0.540)
V (0.230, 0.377, 0.460)
V (0.443, 0.520, 0.885)
Co (0.354, 0.005, 0.708)
Co (0.646, 0.505, 0.292)
Ni (0.150, 0.865, 0.299)
Ni (0.954, 0.867, 0.909)
V (0.557, 0.020, 0.115)
Ni (0.046, 0.367, 0.091)
Ni (0.850, 0.365, 0.701)

Fermi-level density of states, states/eV/f.u.: 5.6
DFT formation energy, meV/atom: -118.1
Calculated volume, A^3/atom: 11.831
VASP energy, eV/atom: -7.499
Space group: Cmc2_1 (36)

# 12
Compound: SrPtI2O
Source: the Alexandria database
Functional: PBE-GGA
Structure: relaxed

Lattice parameters (Å, degrees): 6.317 6.317 4.176 90.00 90.00 90.00
Each line ends with the local moment (μB).
Atoms (fractional coordinates):
I (0.000, 0.500, 0.000)  0.16
Sr (0.000, 0.000, 0.000)  0.00
Pt (0.500, 0.500, 0.500)  0.79
O (0.000, 0.000, 0.500)  0.02
I (0.500, 0.000, 0.000)  0.16

Fermi-level density of states, states/eV/f.u.: 4.3
Uncorrected formation energy, eV per atom: 0.113
Calculated volume, A^3/atom: 33.336
VASP energy, eV/atom: -3.043
Space group: P4/mmm (123)

Number 1: size of the total moment 0.0 μB/cell. Number 2: size of the total moment 0.0 μB/cell. Number 3: size of the total moment 0.0 μB/cell. Number 4: size of the total moment 7.9 μB/cell. Number 5: size of the total moment 0.0 μB/cell. Number 6: size of the total moment 0.0 μB/cell. Number 7: size of the total moment 0.0 μB/cell. Number 8: size of the total moment 0.0 μB/cell. Number 9: size of the total moment 2.4 μB/cell. Number 10: size of the total moment 0.1 μB/cell. Number 11: size of the total moment 0.0 μB/cell. Number 12: size of the total moment 1.3 μB/cell.